Below is a relaxed UIn2Cl3F3 crystal, with properties calculated at the GGA-PBE level.

POSCAR file:
```
UIn2Cl3F3
1.0
8.0244 0.0000 0.0000
-4.0122 6.9493 0.0000
0.0000 0.0000 3.6831
U In Cl F
1 2 3 3
direct
0.0000 0.0000 0.0000
0.3333 0.6667 0.5000
0.6667 0.3333 0.5000
0.0000 0.3551 0.0000
0.3551 0.0000 0.0000
0.6449 0.6449 0.0000
0.0000 0.8160 0.5000
0.1840 0.1840 0.5000
0.8160 0.0000 0.5000
```

**Energy**: -5.144 eV per atom
**Formation energy (no corrections)**: -2042 meV/atom